No. 1
DFT (meta-GGA SCAN) results for AlSi2Rh at its PBEsol-relaxed geometry.

Unit cell a=2.800 b=2.800 c=7.067 alpha=90.00 beta=90.00 gamma=90.00
Atoms (fractional coordinates):
Al: 0.000 0.000 0.000
Si: 0.500 0.500 0.274
Si: 0.500 0.500 0.726
Rh: 0.000 0.000 0.500

Space-group type = P4/mmm (123)
Fermi-level density of states = 1.28 states/eV/f.u.
Electronic total energy = -15.650 eV/atom
Formation energy from raw total energies = -1.0 eV/f.u.

***

No. 2
DFT (meta-GGA SCAN) results for Al2SiRh at its PBEsol-relaxed geometry.

Unit cell a=3.267 b=3.267 c=5.223 alpha=90.00 beta=90.00 gamma=90.00
Atoms (fractional coordinates):
Al: 0.000 0.000 0.249
Al: 0.000 0.000 0.751
Si: 0.500 0.500 0.500
Rh: 0.500 0.500 0.000

Space-group type = P4/mmm (123)
Fermi-level density of states = 1.48 states/eV/f.u.
Electronic total energy = -15.302 eV/atom
Formation energy from raw total energies = -1.9 eV/f.u.

***

The highest formation energy from raw total energies belongs to which entry? AlSi2Rh